Record 1
A geometry-optimized LaTh5Se6 structure. Source: Alexandria via LeMat-Bulk, functional PBE.

For the uncorrected formation energy, the calculation gives -1613.9 meV/atom. The total magnetization is 0.000 μB per atom.

abc: 7.316 12.647 7.310
angles: 90.00 109.42 90.00
Space group C2/m (No. 12)
Inequivalent atoms, fractional coordinates:
La: 0.000 0.000 0.000
Th: 0.000 0.165 0.500
Th: 0.000 0.333 0.000
Th: 0.000 0.500 0.500
Se: 0.246 0.500 0.249
Se: 0.248 0.332 0.748

Record 2
A geometry-optimized Y2GaTe2 structure. Source: Alexandria via LeMat-Bulk, functional PBE.

For the uncorrected formation energy, the calculation gives -827.4 meV/atom. The total magnetization is 0.000 μB per atom.

abc: 8.470 8.470 3.893
angles: 90.00 90.00 90.00
Space group P4/mbm (No. 127)
Inequivalent atoms, fractional coordinates:
Y: 0.150 0.350 0.000
Ga: 0.000 0.000 0.500
Te: 0.146 0.646 0.500

Record 3
A geometry-optimized Li2Sn3GeSe6 structure. Source: Alexandria via LeMat-Bulk, functional PBE.

For the uncorrected formation energy, the calculation gives -568.4 meV/atom. The total magnetization is 0.000 μB per atom.

abc: 17.581 4.045 8.150
angles: 90.00 103.23 90.00
Space group C2/m (No. 12)
Inequivalent atoms, fractional coordinates:
Li: 0.170 0.000 0.335
Sn: 0.000 0.500 0.500
Sn: 0.169 0.000 0.829
Ge: 0.000 0.500 0.000
Se: 0.004 0.000 0.241
Se: 0.162 0.500 0.091
Se: 0.171 0.500 0.580

Record 4
A geometry-optimized Sc2NbCo structure. Source: Alexandria via LeMat-Bulk, functional PBE.

The formation enthalpy at 0 K is 0.17 eV/atom. The total magnetization is 0.771 μB per atom.

abc: 6.624 6.624 6.624
angles: 90.00 90.00 90.00
Space group Fm-3m (No. 225)
Inequivalent atoms, fractional coordinates:
Sc: 0.250 0.250 0.250
Nb: 0.000 0.000 0.000
Co: 0.000 0.000 0.500

Record 5
A geometry-optimized PmMg8Cd4 structure. Source: Alexandria via LeMat-Bulk, functional PBE.

The formation enthalpy at 0 K is -0.14 eV/atom. The total magnetization is 0.000 μB per atom.

abc: 10.024 10.024 5.932
angles: 90.00 90.00 90.00
Space group I4/mmm (No. 139)
Inequivalent atoms, fractional coordinates:
Pm: 0.000 0.000 0.000
Mg: 0.000 0.213 0.500
Mg: 0.000 0.350 0.000
Cd: 0.250 0.250 0.250

Record 6
A geometry-optimized RbCdInGe2 structure. Source: Alexandria via LeMat-Bulk, functional PBE.

The formation enthalpy at 0 K is 1.37 eV/atom. The total magnetization is 0.000 μB per atom.

abc: 5.879 5.879 6.279
angles: 90.00 90.00 90.00
Space group P4/mmm (No. 123)
Inequivalent atoms, fractional coordinates:
Rb: 0.000 0.000 0.000
Cd: 0.500 0.500 0.500
In: 0.000 0.000 0.500
Ge: 0.000 0.500 0.000

Record 7
A geometry-optimized Sr5Tl4Bi structure. Source: Alexandria via LeMat-Bulk, functional PBE.

The formation enthalpy at 0 K is -0.50 eV/atom. The total magnetization is 0.000 μB per atom.

abc: 4.138 4.138 20.366
angles: 90.00 90.00 90.00
Space group P4/mmm (No. 123)
Inequivalent atoms, fractional coordinates:
Sr: 0.000 0.000 0.000
Sr: 0.000 0.000 0.200
Sr: 0.000 0.000 0.402
Tl: 0.500 0.500 0.103
Tl: 0.500 0.500 0.295
Bi: 0.500 0.500 0.500

Record 8
A geometry-optimized CrNiPS2 structure. Source: Alexandria via LeMat-Bulk, functional PBE.

For the uncorrected formation energy, the calculation gives 649.7 meV/atom. The total magnetization is 0.000 μB per atom.

abc: 4.385 4.385 4.489
angles: 90.00 90.00 90.00
Space group P4/mmm (No. 123)
Inequivalent atoms, fractional coordinates:
Cr: 0.000 0.000 0.000
Ni: 0.500 0.500 0.500
P: 0.000 0.000 0.500
S: 0.000 0.500 0.000

Electronic total energy in eV/cell, matching the order above: -164.60 -52.75 -96.36 -116.62 -46.06 -6.98 -26.75 -25.82
DOS at the Fermi energy in states/eV/cell, matching the order above: 17.36 9.97 9.26 15.03 10.07 5.44 6.74 5.98